Run one
KP2Ru | meta-GGA SCAN | PBEsol geometry

It has space group Immm (No. 71), with a = 4.009 Å, b = 6.223 Å, c = 7.284 Å, α = 90.00°, β = 90.00° and γ = 90.00°. The asymmetric unit holds K at (0.000, 0.000, 0.000), P at (0.000, 0.500, 0.150) and Ru at (0.000, 0.000, 0.500).


Run two
KP2Ru | meta-GGA SCAN | PBEsol geometry

It has space group I-4m2 (No. 119), with a = 3.943 Å, b = 3.943 Å, c = 8.509 Å, α = 90.00°, β = 90.00° and γ = 90.00°. The asymmetric unit holds K at (0.000, 0.000, 0.000), P at (0.000, 0.000, 0.500), P at (0.000, 0.500, 0.250) and Ru at (0.000, 0.500, 0.750).


run two is the least stable structure shown above.